Material: NaAc3Nd3Se8
Method: DFT, PBE
State: optimized geometry

Calculated values
Magnetic moment, Bohr magnetons per cell: 0.00
N(E_F), states/eV per cell: 13.96
Formation energy without anion corrections, kJ/mol of atoms: -176.4

Cell: 8.6129 8.6129 21.3741 Å, 90.00 90.00 120.00°
Space group R-3m (No. 166, hexagonal axes)
One atom of each set of equivalent atoms:
Na (0.0000, 0.0000, 0.0000) x3
Ac (0.0000, 0.5000, 0.5000) x9
Nd (0.0000, 0.5000, 0.0000) x9
Se (0.0000, 0.0000, 0.2551) x6
Se (0.0045, 0.5023, 0.2536) x18

---

Material: LaAlSiPt6
Method: DFT, PBE
State: optimized geometry

Calculated values
Magnetic moment, Bohr magnetons per cell: 0.00
N(E_F), states/eV per cell: 12.15
Formation energy without anion corrections, kJ/mol of atoms: -61.0

Cell: 7.366 8.595 11.280 Å, 90.00 90.00 90.00°
Space group Imma (No. 74)
One atom of each set of equivalent atoms:
La (0.000, 0.250, 0.153) x4
Al (0.250, 0.250, 0.750) x4
Si (0.000, 0.000, 0.500) x4
Pt (0.000, 0.250, 0.410) x4
Pt (0.000, 0.250, 0.890) x4
Pt (0.248, 0.012, 0.875) x16

---

Material: PmCdSnAu
Method: DFT, PBE
State: optimized geometry

Calculated values
Magnetic moment, Bohr magnetons per cell: 0.00
N(E_F), states/eV per cell: 6.12
ΔE_f, eV per formula unit: -1.94

Cell: 7.282 7.282 7.282 Å, 90.00 90.00 90.00°
Space group F-43m (No. 216)
One atom of each set of equivalent atoms:
Pm (0.000, 0.000, 0.000) x4
Cd (0.000, 0.000, 0.500) x4
Sn (0.250, 0.250, 0.250) x4
Au (0.250, 0.250, 0.750) x4

---

Material: Gd2MgHg
Method: DFT, PBE
State: optimized geometry

Calculated values
Magnetic moment, Bohr magnetons per cell: 59.74
Energy above the most stable polymorph in this dataset, eV/f.u.: 0.07
N(E_F), states/eV per cell: 19.08
ΔE_f, eV per formula unit: -1.16

Cell: 7.557 7.557 7.557 Å, 90.00 90.00 90.00°
Space group Fm-3m (No. 225)
One atom of each set of equivalent atoms:
Gd (0.250, 0.250, 0.250) x8
Mg (0.000, 0.000, 0.000) x4
Hg (0.000, 0.000, 0.500) x4

---

Material: LiUSe3
Method: DFT, PBE
State: optimized geometry

Calculated values
Magnetic moment, Bohr magnetons per cell: 8.00
Energy above the most stable polymorph in this dataset, eV/f.u.: 0.00
N(E_F), states/eV per cell: 43.96
Formation energy without anion corrections, kJ/mol of atoms: -101.2

Cell: 13.147 7.131 11.071 Å, 90.00 115.30 90.00°
Space group C2/c (No. 15)
One atom of each set of equivalent atoms:
Li (0.000, 0.208, 0.250) x4
Li (0.250, 0.250, 0.000) x4
U (0.166, 0.390, 0.626) x8
Se (0.052, 0.273, 0.028) x8
Se (0.138, 0.093, 0.779) x8
Se (0.184, 0.416, 0.373) x8

---

Material: Ca3BeRe
Method: DFT, PBE
State: optimized geometry

Calculated values
Magnetic moment, Bohr magnetons per cell: 1.12
Energy above the most stable polymorph in this dataset, eV/f.u.: 0.00
N(E_F), states/eV per cell: 4.73
ΔE_f, eV per formula unit: 5.64

Cell: 5.477 5.477 5.477 Å, 90.00 90.00 90.00°
Space group Pm-3m (No. 221)
One atom of each set of equivalent atoms:
Ca (0.000, 0.000, 0.500) x3
Be (0.500, 0.500, 0.500) x1
Re (0.000, 0.000, 0.000) x1